Entry a
First-principles (PBE-GGA) data for Fe2PtW after structural relaxation, as listed in Alexandria.

a b c (Å): 5.429 5.429 5.429
angles (deg): 103.44 103.44 122.36
Fractional coordinates of all 8 atoms:
Fe1 0.111 0.625 0.986
Fe2 0.375 0.361 0.486
Fe3 0.639 0.125 0.014
Fe4 0.875 0.889 0.514
Pt1 0.250 0.750 0.500
Pt2 0.500 0.500 0.000
W1 0.000 0.000 0.000
W2 0.750 0.250 0.500

***

Entry b
First-principles (PBE-GGA) data for Fe2PtW after structural relaxation, as listed in Alexandria.

a b c (Å): 4.601 4.601 4.790
angles (deg): 98.46 98.46 33.84
Fractional coordinates of all 4 atoms:
Fe1 0.247 0.247 0.256
Fe2 0.753 0.753 0.744
Pt1 0.500 0.500 0.000
W1 0.000 0.000 0.500

***

Entry c
First-principles (PBE-GGA) data for Fe2PtW after structural relaxation, as listed in Alexandria.

a b c (Å): 2.807 2.807 6.940
angles (deg): 90.00 90.00 90.00
Fractional coordinates of all 4 atoms:
Fe1 0.000 0.000 0.000
Fe2 0.500 0.500 0.203
Pt1 0.000 0.000 0.467
W1 0.500 0.500 0.757

***

Computed energies relative to the best structure, in meV/atom: entry a 642; entry b 68; entry c 0